# GGA-PBE Zn2CuSe, relaxed
data_Zn2CuSe
_chemical_formula_sum 'Zn2 Cu1 Se1'
_cell_length_a 6.140
_cell_length_b 6.140
_cell_length_c 6.140
_cell_angle_alpha 35.76
_cell_angle_beta 35.76
_cell_angle_gamma 35.76
_symmetry_space_group_name_H-M 'P 1'
_symmetry_Int_Tables_number 1
_symmetry_space_group_name_Hall 'P 1'
loop_
_atom_site_label
_atom_site_type_symbol
_atom_site_fract_x
_atom_site_fract_y
_atom_site_fract_z
Cu1 Cu 0.250 0.250 0.250
Se1 Se 0.750 0.750 0.750
Zn1 Zn 0.993 0.993 0.993
Zn2 Zn 0.507 0.507 0.507
# **Formation energy from raw total energies**: 0.02 eV per atom
# **M_tot**: 0.0 μB/cell
# **ρ**: 6.42 g/cm³
# **Total DFT energy (no corrections)**: -2.515 eV/atom